Entry from the Alexandria database: a geometry-optimized Sm3NCl7 structure (PBE-GGA).

The structure in POSCAR format:
```
Sm3NCl7
1.0
6.473 0.000 0.000
0.000 8.089 0.000
0.000 -4.045 7.006
Sm N Cl
3 1 7
Direct
0.763 0.491 0.509
0.763 0.491 0.982
0.763 0.018 0.509
0.652 0.333 0.667
0.010 0.174 0.826
0.010 0.174 0.348
0.003 0.667 0.333
0.547 0.825 0.175
0.547 0.349 0.175
0.547 0.825 0.651
0.010 0.652 0.826
```

Values from the calculation:
ΔE_f (raw), eV per atom: -1.93

Entry from the Alexandria database: a geometry-optimized Co3GeOs structure (PBE-GGA).

The structure in POSCAR format:
```
Co3GeOs
1.0
4.233 0.000 0.000
0.000 4.233 0.000
0.000 0.000 4.233
Co Ge Os
3 1 1
Direct
0.000 0.500 0.000
0.000 0.000 0.500
0.500 0.000 0.000
0.000 0.000 0.000
0.500 0.500 0.500
```

Values from the calculation:
Formation energy, kJ/mol of formula units: 627
DOS at the Fermi energy, states/eV per cell: 6.00
Offset from the most stable computed form, eV per atom: 0.000

Entry from the Alexandria database: a geometry-optimized PrGd2Pb structure (PBE-GGA).

The structure in POSCAR format:
```
PrGd2Pb
1.0
-0.659 0.967 3.952
0.723 -3.912 1.078
7.187 1.553 0.818
Pb Pr Gd
1 1 2
Direct
0.500 0.500 0.500
0.500 0.500 0.000
0.000 0.000 0.721
0.000 0.000 0.279
```

Values from the calculation:
Formation energy, kJ/mol of formula units: -90
DOS at the Fermi energy, states/eV per cell: 6.57
Offset from the most stable computed form, eV per atom: 0.102

Entry from the Alexandria database: a geometry-optimized CaSe structure (PBE-GGA).

The structure in POSCAR format:
```
CaSe
1.0
-1.578 -1.230 -4.209
0.223 -4.452 -1.363
-3.903 -2.519 -0.381
Ca Se
1 1
Direct
0.000 0.000 0.000
0.750 0.750 0.750
```

Values from the calculation:
DOS at the Fermi energy, states/eV per cell: 0.00
ΔE_f (raw), eV per atom: -1.77

Entry from the Alexandria database: a geometry-optimized TaTc2Ir structure (PBE-GGA).

The structure in POSCAR format:
```
TaTc2Ir
1.0
4.455 0.000 0.000
2.228 3.858 0.000
2.228 1.286 3.638
Ir Ta Tc
1 1 2
Direct
0.500 0.500 0.500
0.750 0.750 0.750
0.000 0.000 0.000
0.250 0.250 0.250
```

Values from the calculation:
Formation energy, kJ/mol of formula units: 9
DOS at the Fermi energy, states/eV per cell: 5.01
Offset from the most stable computed form, eV per atom: 0.284

Entry from the Alexandria database: a geometry-optimized SrHfSnPd2 structure (PBE-GGA).

The structure in POSCAR format:
```
SrHfSnPd2
1.0
4.933 0.000 0.000
0.000 5.996 0.000
0.000 0.000 4.933
Sr Hf Sn Pd
1 1 1 2
Direct
0.000 0.500 0.000
0.000 0.000 0.000
0.500 0.500 0.500
0.000 0.000 0.500
0.500 0.000 0.000
```

Values from the calculation:
Formation energy, kJ/mol of formula units: 240
DOS at the Fermi energy, states/eV per cell: 4.93

Entry from the Alexandria database: a geometry-optimized ScPaMnMo structure (PBE-GGA).

The structure in POSCAR format:
```
ScPaMnMo
1.0
4.688 0.000 0.000
2.344 4.060 0.000
2.344 1.353 3.828
Sc Mo Pa Mn
1 1 1 1
Direct
0.500 0.500 0.500
0.250 0.250 0.250
0.000 0.000 0.000
0.750 0.750 0.750
```

Values from the calculation:
Formation energy, kJ/mol of formula units: 11
DOS at the Fermi energy, states/eV per cell: 3.44

Entry from the Alexandria database: a geometry-optimized YSc2Tl3 structure (PBE-GGA).

The structure in POSCAR format:
```
YSc2Tl3
1.0
-2.819 0.017 2.301
-1.163 -3.151 -1.401
6.115 -5.608 7.535
Y Sc Tl
1 2 3
Direct
0.500 0.500 0.500
0.500 0.500 0.841
0.500 0.500 0.159
0.000 0.000 0.000
0.000 0.000 0.681
0.000 0.000 0.319
```

Values from the calculation:
Formation energy, kJ/mol of formula units: -171
DOS at the Fermi energy, states/eV per cell: 4.77

Entry from the Alexandria database: a geometry-optimized Ac6CdNi2 structure (PBE-GGA).

The structure in POSCAR format:
```
Ac6CdNi2
1.0
8.757 -0.098 -3.028
-4.761 7.506 -2.621
0.060 0.098 9.266
Ac Cd Ni
12 2 4
Direct
0.526 0.703 0.823
0.474 0.297 0.177
0.120 0.297 0.823
0.880 0.703 0.177
0.804 0.772 0.575
0.196 0.228 0.425
0.196 0.772 0.968
0.804 0.228 0.032
0.685 0.358 0.673
0.315 0.642 0.327
0.315 0.987 0.673
0.685 0.013 0.327
0.000 0.500 0.500
0.000 0.000 0.000
0.500 0.380 0.880
0.500 0.620 0.120
0.646 0.000 0.646
0.354 0.000 0.354
```

Values from the calculation:
Formation energy, kJ/mol of formula units: -150
DOS at the Fermi energy, states/eV per cell: 19.73

Entry from the Alexandria database: a geometry-optimized Th3SbN structure (PBE-GGA).

The structure in POSCAR format:
```
Th3SbN
1.0
-3.525 5.529 -0.126
-6.884 -4.295 4.175
5.658 3.746 6.099
Th Sb N
12 4 4
Direct
0.016 0.259 0.241
0.984 0.741 0.759
0.516 0.241 0.259
0.484 0.759 0.741
0.250 0.639 0.361
0.750 0.361 0.639
0.750 0.861 0.139
0.250 0.139 0.861
0.772 0.964 0.536
0.228 0.036 0.464
0.272 0.536 0.964
0.728 0.464 0.036
0.750 0.582 0.418
0.250 0.418 0.582
0.250 0.918 0.082
0.750 0.082 0.918
0.350 0.386 0.114
0.650 0.614 0.886
0.850 0.114 0.386
0.150 0.886 0.614
```

Values from the calculation:
DOS at the Fermi energy, states/eV per cell: 14.16
ΔE_f (raw), eV per atom: -0.74

Entry from the Alexandria database: a geometry-optimized LiAs6 structure (PBE-GGA).

The structure in POSCAR format:
```
LiAs6
1.0
6.411 0.000 0.000
-2.137 6.044 0.000
-2.137 -3.022 5.234
Li As
1 6
Direct
0.000 0.000 0.000
0.250 0.750 0.500
0.500 0.750 0.250
0.250 0.500 0.750
0.750 0.250 0.500
0.500 0.250 0.750
0.750 0.500 0.250
```

Values from the calculation:
Formation energy, kJ/mol of formula units: 187
DOS at the Fermi energy, states/eV per cell: 3.95

Entry from the Alexandria database: a geometry-optimized MgMo3H structure (PBE-GGA).

The structure in POSCAR format:
```
MgMo3H
1.0
4.070 0.000 0.000
0.000 4.070 0.000
0.000 0.000 4.070
H Mo Mg
1 3 1
Direct
0.000 0.000 0.000
0.000 0.500 0.000
0.000 0.000 0.500
0.500 0.000 0.000
0.500 0.500 0.500
```

Values from the calculation:
DOS at the Fermi energy, states/eV per cell: 4.43
Offset from the most stable computed form, eV per atom: 0.000

Entry from the Alexandria database: a geometry-optimized CaSiPd2 structure (PBE-GGA).

The structure in POSCAR format:
```
CaSiPd2
1.0
4.022 0.000 0.000
0.000 4.022 0.000
0.000 0.000 9.450
Ca Si Pd
2 2 4
Direct
0.500 0.000 0.215
0.000 0.500 0.785
0.500 0.000 0.651
0.000 0.500 0.349
0.500 0.000 0.902
0.000 0.500 0.098
0.000 0.000 0.500
0.500 0.500 0.500
```

Values from the calculation:
DOS at the Fermi energy, states/eV per cell: 5.38
ΔE_f (raw), eV per atom: -0.69

Entry from the Alexandria database: a geometry-optimized HfAl2Os structure (PBE-GGA).

The structure in POSCAR format:
```
HfAl2Os
1.0
3.071 0.000 0.000
0.000 3.071 0.000
0.000 0.000 6.908
Hf Os Al
1 1 2
Direct
0.500 0.500 0.500
0.500 0.500 0.000
0.000 0.000 0.797
0.000 0.000 0.203
```

Values from the calculation:
Formation energy, kJ/mol of formula units: -150
DOS at the Fermi energy, states/eV per cell: 2.80
Offset from the most stable computed form, eV per atom: 0.000

Entry from the Alexandria database: a geometry-optimized ThZnAsO structure (PBE-GGA).

The structure in POSCAR format:
```
ThZnAsO
1.0
4.129 0.004 -0.004
2.068 3.574 -0.004
2.053 1.186 10.437
O As Zn Th
2 2 2 2
Direct
0.694 0.694 0.916
0.306 0.306 0.084
0.112 0.112 0.663
0.888 0.888 0.337
0.804 0.804 0.588
0.196 0.196 0.412
0.621 0.621 0.137
0.379 0.379 0.863
```

Values from the calculation:
DOS at the Fermi energy, states/eV per cell: 0.68
ΔE_f (raw), eV per atom: -1.72

Entry from the Alexandria database: a geometry-optimized YGa4 structure (PBE-GGA).

The structure in POSCAR format:
```
YGa4
1.0
-2.602 -4.885 -0.205
3.556 -1.732 -3.876
3.355 -1.953 3.950
Y Ga
1 4
Direct
0.500 0.500 0.500
0.000 0.000 0.000
0.500 0.000 0.500
0.000 0.500 0.500
0.500 0.500 0.000
```

Values from the calculation:
Formation energy, kJ/mol of formula units: 320
DOS at the Fermi energy, states/eV per cell: 4.08
Offset from the most stable computed form, eV per atom: 1.082

Entry from the Alexandria database: a geometry-optimized In2GaCu structure (PBE-GGA).

The structure in POSCAR format:
```
In2GaCu
1.0
4.413 0.000 0.000
2.207 3.822 0.000
2.207 1.274 5.269
In Ga Cu
2 1 1
Direct
0.068 0.068 0.795
0.271 0.271 0.186
0.498 0.498 0.506
0.663 0.663 0.012
```

Values from the calculation:
Formation energy, kJ/mol of formula units: 33
DOS at the Fermi energy, states/eV per cell: 1.35

Entry from the Alexandria database: a geometry-optimized CeNdP structure (PBE-GGA).

The structure in POSCAR format:
```
CeNdP
1.0
6.626 0.000 0.000
0.000 3.978 0.000
0.000 -1.989 3.445
P Nd Ce
1 1 1
Direct
0.004 0.000 0.000
0.745 0.667 0.333
0.251 0.333 0.667
```

Values from the calculation:
Formation energy, kJ/mol of formula units: -244
DOS at the Fermi energy, states/eV per cell: 5.70

Entry from the Alexandria database: a geometry-optimized ThTlAgPb structure (PBE-GGA).

The structure in POSCAR format:
```
ThTlAgPb
1.0
5.343 0.000 0.000
2.672 4.627 0.000
2.672 1.542 4.363
Pb Tl Ag Th
1 1 1 1
Direct
0.250 0.250 0.250
0.500 0.500 0.500
0.000 0.000 0.000
0.750 0.750 0.750
```

Values from the calculation:
Formation energy, kJ/mol of formula units: 9
DOS at the Fermi energy, states/eV per cell: 2.56
Offset from the most stable computed form, eV per atom: 0.170

Entry from the Alexandria database: a geometry-optimized Hf3TiP structure (PBE-GGA).

The structure in POSCAR format:
```
Hf3TiP
1.0
-4.222 -2.279 -0.388
2.202 -3.720 -2.118
0.703 -2.036 4.305
P Hf Ti
1 3 1
Direct
0.000 0.000 0.000
0.000 0.500 0.000
0.000 0.000 0.500
0.500 0.000 0.000
0.500 0.500 0.500
```

Values from the calculation:
Formation energy, kJ/mol of formula units: -52
DOS at the Fermi energy, states/eV per cell: 3.86
Offset from the most stable computed form, eV per atom: 0.361